A plane-wave DFT calculation with PBE was carried out for crystalline BeZn2Tc at its relaxed geometry.

POSCAR file:
```
BeZn2Tc
1.0
2.622 0.001 0.000
-0.760 2.509 0.000
0.000 0.000 8.101
Be Zn Tc
1 2 1
Direct
0.000 0.000 0.508
0.000 0.000 0.993
0.500 0.500 0.273
0.500 0.500 0.726
```

Calculated values
Calculated formation energy = 13 kJ/mol of atoms
Density of states at the Fermi level = 2.72 states/eV/cell
Symmetry = No. 35

---

A plane-wave DFT calculation with PBE was carried out for crystalline ScPt2Se at its relaxed geometry.

POSCAR file:
```
ScPt2Se
1.0
-4.995 0.863 0.299
-2.130 -3.412 3.098
3.783 3.370 0.335
Pt Sc Se
2 1 1
Direct
0.977 0.977 0.000
0.226 0.726 0.500
0.520 0.520 0.000
0.778 0.278 0.500
```

Calculated values
Density of states at the Fermi level = 2.57 states/eV/cell
E_form (uncorrected) = -0.659 eV/atom
Symmetry = No. 44

---

A plane-wave DFT calculation with PBE was carried out for crystalline SrTaBr2 at its relaxed geometry.

POSCAR file:
```
SrTaBr2
1.0
-1.404 -4.899 -0.653
-4.616 -1.110 -1.964
-0.374 -1.956 -4.736
Sr Br Ta
1 2 1
Direct
0.000 0.000 0.000
0.250 0.250 0.250
0.750 0.750 0.750
0.500 0.500 0.500
```

Calculated values
Energy above the most stable polymorph in this dataset = 0.523 eV per atom
Density of states at the Fermi level = 4.24 states/eV/cell
E_form (uncorrected) = 0.191 eV/atom
Symmetry = No. 225

---

Among the records above, which one has the highest density of states at the Fermi level?
SrTaBr2

---

Among the records above, which one has the highest density of states at the Fermi level?
SrTaBr2